{
  "formula": "Ac5NdSn4",
  "functional": "PBE-GGA",
  "state": "relaxed",
  "cell": [[5.670, 0.000, 0.000], [0.000, 7.183, -2.879], [-2.835, -3.790, 10.972]],
  "species": ["Ac", "Ac", "Ac", "Ac", "Ac", "Sn", "Sn", "Sn", "Sn", "Nd"],
  "fractional_positions": [[0.836, 0.172, 0.672], [0.164, 0.828, 0.328], [0.500, 0.500, 0.000], [0.833, 0.674, 0.667], [0.167, 0.326, 0.333], [0.008, 0.253, 0.015], [0.673, 0.097, 0.346], [0.327, 0.903, 0.654], [0.992, 0.747, 0.985], [0.500, 0.000, 0.000]],
  "spacegroup": "No. 12",
  "total_energy_ev_per_atom": -4.65,
  "e_form_ev_per_atom": -0.51
}



{
  "formula": "Ac3NdSn3",
  "functional": "PBE-GGA",
  "state": "relaxed",
  "cell": [[8.373, 0.195, 0.216], [-3.555, 7.583, 0.216], [-0.516, -0.834, 8.563]],
  "species": ["Ac", "Ac", "Ac", "Ac", "Ac", "Ac", "Nd", "Nd", "Sn", "Sn", "Sn", "Sn", "Sn", "Sn"],
  "fractional_positions": [[0.837, 0.163, 0.500], [0.618, 0.618, 0.352], [0.382, 0.382, 0.648], [0.163, 0.837, 0.500], [0.229, 0.771, 0.000], [0.771, 0.229, 0.000], [0.249, 0.249, 0.094], [0.751, 0.751, 0.906], [0.492, 0.148, 0.299], [0.148, 0.492, 0.299], [0.852, 0.508, 0.701], [0.062, 0.062, 0.785], [0.938, 0.938, 0.215], [0.508, 0.852, 0.701]],
  "spacegroup": "No. 12",
  "total_energy_ev_per_atom": -4.62,
  "e_form_ev_per_atom": -0.46
}



{
  "formula": "Ac5NdSn6",
  "functional": "PBE-GGA",
  "state": "relaxed",
  "cell": [[-1.603, 0.061, 5.900], [-0.934, -7.176, 6.130], [8.162, -2.716, 5.401]],
  "species": ["Ac", "Ac", "Ac", "Ac", "Ac", "Sn", "Sn", "Sn", "Sn", "Sn", "Sn", "Nd"],
  "fractional_positions": [[0.000, 0.346, 0.307], [0.500, 0.181, 0.637], [0.000, 0.654, 0.693], [0.500, 0.819, 0.363], [0.500, 0.500, 0.000], [0.707, 0.793, 0.000], [0.293, 0.207, 0.000], [0.221, 0.942, 0.674], [0.779, 0.384, 0.674], [0.221, 0.616, 0.326], [0.779, 0.058, 0.326], [0.000, 0.000, 0.000]],
  "spacegroup": "No. 12",
  "total_energy_ev_per_atom": -4.72,
  "e_form_ev_per_atom": -0.61
}



{
  "formula": "Ac12NdSn7",
  "functional": "PBE-GGA",
  "state": "relaxed",
  "cell": [[10.188, -0.435, -0.652], [-3.250, 9.665, -0.652], [-3.250, -4.324, 8.668]],
  "species": ["Sn", "Sn", "Sn", "Sn", "Sn", "Sn", "Sn", "Ac", "Ac", "Ac", "Ac", "Ac", "Ac", "Ac", "Ac", "Ac", "Ac", "Ac", "Ac", "Nd"],
  "fractional_positions": [[0.500, 0.500, 0.500], [0.864, 0.550, 0.864], [0.136, 0.136, 0.450], [0.136, 0.450, 0.136], [0.450, 0.136, 0.136], [0.864, 0.864, 0.550], [0.550, 0.864, 0.864], [0.731, 0.269, 0.000], [0.485, 0.167, 0.485], [0.515, 0.515, 0.833], [0.269, 0.731, 0.000], [0.269, 0.000, 0.731], [0.000, 0.731, 0.269], [0.515, 0.833, 0.515], [0.167, 0.485, 0.485], [0.833, 0.515, 0.515], [0.000, 0.269, 0.731], [0.731, 0.000, 0.269], [0.485, 0.485, 0.167], [0.000, 0.000, 0.000]],
  "spacegroup": "No. 166",
  "total_energy_ev_per_atom": -4.49,
  "e_form_ev_per_atom": -0.38
}



{
  "formula": "AcNdSn2",
  "functional": "PBE-GGA",
  "state": "relaxed",
  "cell": [[3.696, 0.000, 0.000], [0.000, 3.696, 0.000], [0.000, 0.000, 9.150]],
  "species": ["Nd", "Sn", "Sn", "Ac"],
  "fractional_positions": [[0.500, 0.500, 0.500], [0.000, 0.000, 0.739], [0.000, 0.000, 0.261], [0.500, 0.500, 0.000]],
  "spacegroup": "No. 123",
  "total_energy_ev_per_atom": -4.85,
  "e_form_ev_per_atom": -0.63
}



{
  "formula": "AcNdSn2",
  "functional": "PBE-GGA",
  "state": "relaxed",
  "cell": [[-0.963, 4.413, 0.874], [0.582, -0.886, 5.115], [5.075, 1.181, -0.373]],
  "species": ["Ac", "Sn", "Sn", "Nd"],
  "fractional_positions": [[0.500, 0.500, 0.500], [0.000, 0.500, 0.000], [0.000, 0.000, 0.500], [0.500, 0.000, 0.000]],
  "spacegroup": "No. 123",
  "total_energy_ev_per_atom": -4.83,
  "e_form_ev_per_atom": -0.61
}



{
  "formula": "AcNd2Sn",
  "functional": "PBE-GGA",
  "state": "relaxed",
  "cell": [[3.891, 0.000, 0.000], [1.946, 3.370, 0.000], [1.946, 1.123, 10.967]],
  "species": ["Nd", "Nd", "Ac", "Sn"],
  "fractional_positions": [[0.072, 0.072, 0.784], [0.262, 0.262, 0.215], [0.500, 0.500, 0.500], [0.667, 0.667, 0.000]],
  "spacegroup": "No. 160",
  "de_polymorph_mev_per_atom": 207,
  "total_energy_ev_per_atom": -4.60,
  "e_form_ev_per_atom": -0.19
}



{
  "formula": "AcNd4Sn4",
  "functional": "PBE-GGA",
  "state": "relaxed",
  "cell": [[6.348, 0.000, 0.000], [0.000, 10.301, 0.000], [0.000, 0.000, 10.301]],
  "species": ["Sn", "Sn", "Sn", "Sn", "Sn", "Sn", "Sn", "Sn", "Nd", "Nd", "Nd", "Nd", "Nd", "Nd", "Nd", "Nd", "Ac", "Ac"],
  "fractional_positions": [[0.601, 0.796, 0.352], [0.899, 0.296, 0.852], [0.399, 0.352, 0.204], [0.101, 0.148, 0.296], [0.899, 0.704, 0.148], [0.101, 0.852, 0.704], [0.399, 0.648, 0.796], [0.601, 0.204, 0.648], [0.888, 0.392, 0.149], [0.388, 0.351, 0.892], [0.888, 0.608, 0.851], [0.612, 0.108, 0.351], [0.112, 0.149, 0.608], [0.112, 0.851, 0.392], [0.388, 0.649, 0.108], [0.612, 0.892, 0.649], [0.500, 0.500, 0.500], [0.000, 0.000, 0.000]],
  "spacegroup": "No. 86",
  "total_energy_ev_per_atom": -4.82,
  "e_form_ev_per_atom": -0.47
}



{
  "formula": "Ac8NdSn2",
  "functional": "PBE-GGA",
  "state": "relaxed",
  "cell": [[6.609, -1.198, -0.996], [-1.661, 9.262, 1.555], [-1.661, 3.222, 8.821]],
  "species": ["Ac", "Ac", "Ac", "Ac", "Ac", "Ac", "Ac", "Ac", "Sn", "Sn", "Nd"],
  "fractional_positions": [[0.308, 0.410, 0.807], [0.308, 0.807, 0.410], [0.798, 0.608, 0.608], [0.692, 0.590, 0.193], [0.733, 0.139, 0.139], [0.202, 0.392, 0.392], [0.267, 0.861, 0.861], [0.692, 0.193, 0.590], [0.316, 0.216, 0.216], [0.684, 0.784, 0.784], [0.000, 0.000, 0.000]],
  "spacegroup": "No. 12",
  "total_energy_ev_per_atom": -4.17,
  "e_form_ev_per_atom": -0.02
}



{
  "formula": "Ac6NdSn3",
  "functional": "PBE-GGA",
  "state": "relaxed",
  "cell": [[-6.486, 0.194, -4.556], [3.857, -7.548, -5.813], [-5.224, -5.123, 7.219]],
  "species": ["Nd", "Nd", "Ac", "Ac", "Ac", "Ac", "Ac", "Ac", "Ac", "Ac", "Ac", "Ac", "Ac", "Ac", "Sn", "Sn", "Sn", "Sn", "Sn", "Sn"],
  "fractional_positions": [[0.137, 0.196, 0.804], [0.637, 0.804, 0.196], [0.786, 0.943, 0.533], [0.612, 0.648, 0.717], [0.112, 0.717, 0.648], [0.286, 0.533, 0.943], [0.286, 0.057, 0.467], [0.770, 0.042, 0.958], [0.612, 0.283, 0.352], [0.270, 0.958, 0.042], [0.115, 0.745, 0.255], [0.786, 0.467, 0.057], [0.615, 0.255, 0.745], [0.112, 0.352, 0.283], [0.930, 0.733, 0.949], [0.807, 0.600, 0.400], [0.430, 0.267, 0.051], [0.307, 0.400, 0.600], [0.430, 0.949, 0.733], [0.930, 0.051, 0.267]],
  "spacegroup": "No. 36",
  "total_energy_ev_per_atom": -4.46,
  "e_form_ev_per_atom": -0.32
}



{
  "formula": "AcNd6Sn4",
  "functional": "PBE-GGA",
  "state": "relaxed",
  "cell": [[-1.589, -8.025, -1.636], [7.487, 2.338, 2.842], [-3.528, 3.761, 6.558]],
  "species": ["Nd", "Nd", "Nd", "Nd", "Nd", "Nd", "Sn", "Sn", "Sn", "Sn", "Ac"],
  "fractional_positions": [[0.500, 0.500, 0.000], [0.000, 0.515, 0.828], [0.313, 0.485, 0.485], [0.500, 0.000, 0.500], [0.000, 0.828, 0.515], [0.687, 0.172, 0.172], [0.000, 0.622, 0.187], [0.000, 0.187, 0.622], [0.434, 0.813, 0.813], [0.566, 0.378, 0.378], [0.000, 0.000, 0.000]],
  "spacegroup": "No. 121",
  "total_energy_ev_per_atom": -4.82,
  "e_form_ev_per_atom": -0.39
}



{
  "formula": "Ac3NdSn6",
  "functional": "PBE-GGA",
  "state": "relaxed",
  "cell": [[8.706, -0.029, -1.093], [-1.235, 8.618, -1.093], [-0.025, -0.029, 8.774]],
  "species": ["Sn", "Sn", "Sn", "Sn", "Sn", "Sn", "Sn", "Sn", "Sn", "Sn", "Sn", "Sn", "Nd", "Nd", "Ac", "Ac", "Ac", "Ac", "Ac", "Ac"],
  "fractional_positions": [[0.132, 0.412, 0.488], [0.988, 0.912, 0.632], [0.912, 0.632, 0.988], [0.412, 0.488, 0.132], [0.488, 0.132, 0.412], [0.632, 0.988, 0.912], [0.368, 0.012, 0.088], [0.512, 0.868, 0.588], [0.012, 0.088, 0.368], [0.868, 0.588, 0.512], [0.588, 0.512, 0.868], [0.088, 0.368, 0.012], [0.500, 0.500, 0.500], [0.000, 0.000, 0.000], [0.250, 0.683, 0.817], [0.817, 0.250, 0.683], [0.683, 0.817, 0.250], [0.183, 0.750, 0.317], [0.317, 0.183, 0.750], [0.750, 0.317, 0.183]],
  "spacegroup": "No. 167",
  "total_energy_ev_per_atom": -4.74,
  "e_form_ev_per_atom": -0.63
}



{
  "formula": "Ac8NdSn5",
  "functional": "PBE-GGA",
  "state": "relaxed",
  "cell": [[-0.955, 8.810, -0.075], [-7.763, -3.781, 1.995], [6.034, -2.295, 6.072]],
  "species": ["Ac", "Ac", "Ac", "Ac", "Ac", "Ac", "Ac", "Ac", "Sn", "Sn", "Sn", "Sn", "Sn", "Nd"],
  "fractional_positions": [[0.967, 0.092, 0.729], [0.125, 0.762, 0.033], [0.271, 0.238, 0.364], [0.639, 0.391, 0.877], [0.636, 0.908, 0.875], [0.123, 0.763, 0.514], [0.752, 0.237, 0.361], [0.486, 0.609, 0.248], [0.500, 0.000, 0.500], [0.866, 0.879, 0.249], [0.751, 0.618, 0.630], [0.370, 0.121, 0.988], [0.012, 0.382, 0.134], [0.250, 0.500, 0.750]],
  "spacegroup": "No. 82",
  "total_energy_ev_per_atom": -4.57,
  "e_form_ev_per_atom": -0.45
}



{
  "formula": "Ac12NdSn6",
  "functional": "PBE-GGA",
  "state": "relaxed",
  "cell": [[-0.024, -9.457, -2.899], [5.110, 0.527, 8.453], [-9.349, 2.546, 1.989]],
  "species": ["Ac", "Ac", "Ac", "Ac", "Ac", "Ac", "Ac", "Ac", "Ac", "Ac", "Ac", "Ac", "Sn", "Sn", "Sn", "Sn", "Sn", "Sn", "Nd"],
  "fractional_positions": [[0.880, 0.637, 0.528], [0.363, 0.472, 0.120], [0.315, 0.011, 0.877], [0.528, 0.880, 0.637], [0.120, 0.363, 0.472], [0.877, 0.315, 0.011], [0.989, 0.123, 0.685], [0.472, 0.120, 0.363], [0.685, 0.989, 0.123], [0.637, 0.528, 0.880], [0.123, 0.685, 0.989], [0.011, 0.877, 0.315], [0.180, 0.634, 0.335], [0.665, 0.820, 0.366], [0.634, 0.335, 0.180], [0.820, 0.366, 0.665], [0.335, 0.180, 0.634], [0.366, 0.665, 0.820], [0.000, 0.000, 0.000]],
  "spacegroup": "No. 148",
  "total_energy_ev_per_atom": -4.36,
  "e_form_ev_per_atom": -0.25
}



{
  "formula": "AcNdSn2",
  "functional": "PBE-GGA",
  "state": "relaxed",
  "cell": [[-3.617, 1.931, -1.844], [-3.275, -0.793, 5.594], [2.857, 8.035, 2.811]],
  "species": ["Sn", "Sn", "Sn", "Sn", "Ac", "Ac", "Nd", "Nd"],
  "fractional_positions": [[0.000, 0.389, 0.039], [0.000, 0.611, 0.539], [0.500, 0.097, 0.959], [0.500, 0.903, 0.459], [0.500, 0.370, 0.319], [0.500, 0.630, 0.819], [0.000, 0.870, 0.183], [0.000, 0.130, 0.683]],
  "spacegroup": "No. 26",
  "total_energy_ev_per_atom": -4.94,
  "e_form_ev_per_atom": -0.72
}



{
  "formula": "AcNd4Sn15",
  "functional": "PBE-GGA",
  "state": "relaxed",
  "cell": [[-0.173, -4.362, 1.919], [3.400, 1.233, 3.108], [-17.082, 7.577, 15.679]],
  "species": ["Sn", "Sn", "Sn", "Sn", "Sn", "Sn", "Sn", "Sn", "Sn", "Sn", "Sn", "Sn", "Sn", "Sn", "Sn", "Nd", "Nd", "Nd", "Nd", "Ac"],
  "fractional_positions": [[0.500, 0.500, 0.599], [0.500, 0.500, 0.797], [0.500, 0.000, 0.895], [0.500, 0.500, 0.203], [0.500, 0.000, 0.698], [0.000, 0.500, 0.698], [0.500, 0.500, 0.000], [0.500, 0.500, 0.401], [0.500, 0.000, 0.500], [0.000, 0.500, 0.895], [0.500, 0.000, 0.105], [0.000, 0.500, 0.105], [0.000, 0.500, 0.302], [0.500, 0.000, 0.302], [0.000, 0.500, 0.500], [0.000, 0.000, 0.203], [0.000, 0.000, 0.599], [0.000, 0.000, 0.401], [0.000, 0.000, 0.797], [0.000, 0.000, 0.000]],
  "spacegroup": "No. 123",
  "total_energy_ev_per_atom": -4.66,
  "e_form_ev_per_atom": -0.49
}



{
  "formula": "AcNdSn2",
  "functional": "PBE-GGA",
  "state": "relaxed",
  "cell": [[4.852, 0.000, -0.032], [0.000, 4.489, 0.000], [-2.384, 0.000, 6.077]],
  "species": ["Nd", "Sn", "Sn", "Ac"],
  "fractional_positions": [[0.717, 0.000, 0.973], [0.170, 0.500, 0.880], [0.999, 0.000, 0.537], [0.445, 0.500, 0.427]],
  "spacegroup": "No. 38",
  "total_energy_ev_per_atom": -4.94,
  "e_form_ev_per_atom": -0.72
}



{
  "formula": "Ac8NdSn6",
  "functional": "PBE-GGA",
  "state": "relaxed",
  "cell": [[-3.022, 9.356, 0.395], [-9.329, 2.062, 2.355], [-2.339, 4.094, 7.706]],
  "species": ["Ac", "Ac", "Ac", "Ac", "Ac", "Ac", "Ac", "Ac", "Sn", "Sn", "Sn", "Sn", "Sn", "Sn", "Nd"],
  "fractional_positions": [[0.769, 0.104, 0.687], [0.559, 0.231, 0.313], [0.666, 0.666, 0.003], [0.441, 0.769, 0.687], [0.231, 0.896, 0.313], [0.104, 0.441, 0.687], [0.334, 0.334, 0.997], [0.896, 0.559, 0.313], [0.261, 0.607, 0.198], [0.066, 0.739, 0.802], [0.607, 0.934, 0.198], [0.934, 0.261, 0.198], [0.393, 0.066, 0.802], [0.739, 0.393, 0.802], [0.000, 0.000, 0.000]],
  "spacegroup": "No. 148",
  "total_energy_ev_per_atom": -4.64,
  "e_form_ev_per_atom": -0.53
}



{
  "formula": "AcNd5Sn5",
  "functional": "PBE-GGA",
  "state": "relaxed",
  "cell": [[-4.117, 3.350, 3.676], [0.376, -7.740, 1.807], [6.892, 3.830, 4.228]],
  "species": ["Nd", "Nd", "Nd", "Nd", "Nd", "Sn", "Sn", "Sn", "Sn", "Sn", "Ac"],
  "fractional_positions": [[0.327, 0.655, 0.159], [0.662, 0.324, 0.334], [0.000, 0.000, 0.500], [0.673, 0.345, 0.841], [0.338, 0.676, 0.666], [0.831, 0.663, 0.181], [0.831, 0.662, 0.653], [0.169, 0.337, 0.819], [0.169, 0.338, 0.347], [0.500, 0.000, 0.000], [0.000, 0.000, 0.000]],
  "spacegroup": "No. 12",
  "total_energy_ev_per_atom": -4.82,
  "e_form_ev_per_atom": -0.46
}



{
  "formula": "AcNd5Sn6",
  "functional": "PBE-GGA",
  "state": "relaxed",
  "cell": [[8.506, 0.499, 0.000], [3.030, 5.741, 0.000], [1.515, 2.870, 8.061]],
  "species": ["Nd", "Nd", "Nd", "Nd", "Nd", "Sn", "Sn", "Sn", "Sn", "Sn", "Sn", "Ac"],
  "fractional_positions": [[0.500, 0.849, 0.302], [0.000, 0.678, 0.644], [0.500, 0.151, 0.698], [0.500, 0.500, 0.000], [0.000, 0.322, 0.356], [0.220, 0.301, 0.000], [0.281, 0.877, 0.655], [0.719, 0.468, 0.655], [0.281, 0.532, 0.345], [0.780, 0.699, 0.000], [0.719, 0.123, 0.345], [0.000, 0.000, 0.000]],
  "spacegroup": "No. 12",
  "total_energy_ev_per_atom": -4.95,
  "e_form_ev_per_atom": -0.62
}